An optimized crystal structure of PrB14W, computed with PBE.

Results
**Energy relative to the elements**: -0.0743 eV per atom

```
data_PrB14W
_cell_length_a 5.8758
_cell_length_b 11.0589
_cell_length_c 8.2801
_cell_angle_alpha 90.00
_cell_angle_beta 90.00
_cell_angle_gamma 90.00
_symmetry_space_group_name_H-M 'I m m a'
_symmetry_Int_Tables_number 74
_symmetry_space_group_name_Hall '-I 2b 2'
loop_
_atom_site_label
_atom_site_fract_x
_atom_site_fract_y
_atom_site_fract_z
Pr1 0.0000 0.2500 0.1254
B1 0.0000 0.0808 0.6691
B2 0.0000 0.1173 0.8687
B3 0.0000 0.1672 0.4688
B4 0.1610 0.0627 0.3392
B5 0.2466 0.0766 0.5497
W1 0.2500 0.2500 0.7500
```

---

An optimized crystal structure of La3Bi2Sb2Pd4, computed with PBE.

Results
**Raw formation energy**: -0.851 eV per atom

```
data_La3Bi2Sb2Pd4
_cell_length_a 4.6725
_cell_length_b 4.6725
_cell_length_c 15.2916
_cell_angle_alpha 90.00
_cell_angle_beta 90.00
_cell_angle_gamma 120.00
_symmetry_space_group_name_H-M 'P -3 m 1'
_symmetry_Int_Tables_number 164
_symmetry_space_group_name_Hall '-P 3 2"'
loop_
_atom_site_label
_atom_site_fract_x
_atom_site_fract_y
_atom_site_fract_z
La1 0.0000 0.0000 0.0000
La2 0.0000 0.0000 0.2677
Bi1 0.3333 0.6667 0.5847
Sb1 0.3333 0.6667 0.1300
Pd1 0.3333 0.6667 0.3948
Pd2 0.3333 0.6667 0.8620
```

---

An optimized crystal structure of ZnPtPb2, computed with PBE.

Results
**Energy relative to the elements**: -0.1092 eV per atom

```
data_ZnPtPb2
_cell_length_a 4.1741
_cell_length_b 4.1648
_cell_length_c 5.6551
_cell_angle_alpha 90.00
_cell_angle_beta 111.42
_cell_angle_gamma 90.00
_symmetry_space_group_name_H-M 'P 1 m 1'
_symmetry_Int_Tables_number 6
loop_
_symmetry_equiv_pos_as_xyz
'x,y,z'
'x,-y,z'
loop_
_atom_site_label
_atom_site_fract_x
_atom_site_fract_y
_atom_site_fract_z
Zn1 0.0000 0.0000 0.0000
Pt1 0.1425 0.5000 0.2867
Pb1 0.4293 0.5000 0.8562
Pb2 0.7182 0.0000 0.4400
```

---

An optimized crystal structure of CaZn2Hg, computed with PBE.

Results
**Energy relative to the elements**: -0.1976 eV per atom

```
data_CaZn2Hg
_cell_length_a 3.5253
_cell_length_b 4.7560
_cell_length_c 5.4326
_cell_angle_alpha 90.00
_cell_angle_beta 90.09
_cell_angle_gamma 90.00
_symmetry_space_group_name_H-M 'P 1 2/m 1'
_symmetry_Int_Tables_number 10
loop_
_symmetry_equiv_pos_as_xyz
'x,y,z'
'-x,-y,-z'
'-x,y,-z'
'x,-y,z'
loop_
_atom_site_label
_atom_site_fract_x
_atom_site_fract_y
_atom_site_fract_z
Ca1 0.0000 0.0000 0.0000
Zn1 0.4979 0.5000 0.7555
Hg1 0.5000 0.0000 0.5000
```

---

An optimized crystal structure of PmSnHgBi, computed with PBE.

Results
**ΔE to the lowest computed polymorph**: 189 meV per atom
**Energy relative to the elements**: -0.2670 eV per atom

```
data_PmSnHgBi
_cell_length_a 7.7169
_cell_length_b 7.7169
_cell_length_c 7.7169
_cell_angle_alpha 90.00
_cell_angle_beta 90.00
_cell_angle_gamma 90.00
_symmetry_space_group_name_H-M 'F -4 3 m'
_symmetry_Int_Tables_number 216
_symmetry_space_group_name_Hall 'F -4 2 3'
loop_
_atom_site_label
_atom_site_fract_x
_atom_site_fract_y
_atom_site_fract_z
Pm1 0.0000 0.0000 0.0000
Sn1 0.2500 0.2500 0.2500
Hg1 0.2500 0.2500 0.7500
Bi1 0.0000 0.0000 0.5000
```

---

An optimized crystal structure of TbCu4Au3O12, computed with PBE.

Results
**Raw formation energy**: -0.692 eV per atom

```
data_TbCu4Au3O12
_cell_length_a 7.5496
_cell_length_b 7.5496
_cell_length_c 7.5496
_cell_angle_alpha 90.00
_cell_angle_beta 90.00
_cell_angle_gamma 90.00
_symmetry_space_group_name_H-M 'I m -3'
_symmetry_Int_Tables_number 204
_symmetry_space_group_name_Hall '-I 2 2 3'
loop_
_atom_site_label
_atom_site_fract_x
_atom_site_fract_y
_atom_site_fract_z
Tb1 0.0000 0.0000 0.0000
Cu1 0.2500 0.2500 0.2500
Au1 0.0000 0.0000 0.5000
O1 0.0000 0.1734 0.2931
```

---

An optimized crystal structure of Sc3ZnCd2, computed with PBE.

Results
**Energy relative to the elements**: -0.3175 eV per atom

```
data_Sc3ZnCd2
_cell_length_a 3.4127
_cell_length_b 3.4127
_cell_length_c 10.8174
_cell_angle_alpha 90.00
_cell_angle_beta 90.00
_cell_angle_gamma 90.00
_symmetry_space_group_name_H-M 'P 4/m m m'
_symmetry_Int_Tables_number 123
_symmetry_space_group_name_Hall '-P 4 2'
loop_
_atom_site_label
_atom_site_fract_x
_atom_site_fract_y
_atom_site_fract_z
Sc1 0.0000 0.0000 0.0000
Sc2 0.0000 0.0000 0.3509
Zn1 0.5000 0.5000 0.5000
Cd1 0.5000 0.5000 0.1755
```

---

An optimized crystal structure of KCdGa2Bi, computed with PBE.

Results
**Energy relative to the elements**: -0.1457 eV per atom

```
data_KCdGa2Bi
_cell_length_a 4.8577
_cell_length_b 5.0235
_cell_length_c 11.7865
_cell_angle_alpha 90.00
_cell_angle_beta 90.00
_cell_angle_gamma 90.00
_symmetry_space_group_name_H-M 'I m m 2'
_symmetry_Int_Tables_number 44
loop_
_symmetry_equiv_pos_as_xyz
'x,y,z'
'-x,-y,z'
'-x,y,z'
'x,-y,z'
'x+1/2,y+1/2,z+1/2'
'-x+1/2,-y+1/2,z+1/2'
'-x+1/2,y+1/2,z+1/2'
'x+1/2,-y+1/2,z+1/2'
loop_
_atom_site_label
_atom_site_fract_x
_atom_site_fract_y
_atom_site_fract_z
K1 0.0000 0.0000 0.0000
Cd1 0.0000 0.5000 0.7616
Ga1 0.0000 0.0000 0.3670
Ga2 0.0000 0.5000 0.2684
Bi1 0.0000 0.0000 0.6107
```

---

An optimized crystal structure of La2SbCl, computed with PBE.

Results
**Raw formation energy**: -1.242 eV per atom

```
data_La2SbCl
_cell_length_a 7.6213
_cell_length_b 7.6296
_cell_length_c 3.9158
_cell_angle_alpha 90.00
_cell_angle_beta 90.00
_cell_angle_gamma 90.00
_symmetry_space_group_name_H-M 'C m m m'
_symmetry_Int_Tables_number 65
_symmetry_space_group_name_Hall '-C 2 2'
loop_
_atom_site_label
_atom_site_fract_x
_atom_site_fract_y
_atom_site_fract_z
La1 0.2500 0.2500 0.0000
Sb1 0.0000 0.0000 0.5000
Cl1 0.0000 0.5000 0.5000
```

---

An optimized crystal structure of Ca2Mg2Cl, computed with PBE.

Results
**Raw formation energy**: -0.497 eV per atom

```
data_Ca2Mg2Cl
_cell_length_a 7.6125
_cell_length_b 7.6125
_cell_length_c 5.5359
_cell_angle_alpha 90.00
_cell_angle_beta 90.00
_cell_angle_gamma 90.00
_symmetry_space_group_name_H-M 'P 4/m b m'
_symmetry_Int_Tables_number 127
_symmetry_space_group_name_Hall '-P 4 2ab'
loop_
_atom_site_label
_atom_site_fract_x
_atom_site_fract_y
_atom_site_fract_z
Ca1 0.1713 0.3287 0.0000
Mg1 0.1357 0.6357 0.5000
Cl1 0.0000 0.0000 0.0000
```

---

An optimized crystal structure of HoH6Ru, computed with PBE.

```
data_HoH6Ru
_cell_length_a 4.3802
_cell_length_b 4.3802
_cell_length_c 11.5173
_cell_angle_alpha 90.00
_cell_angle_beta 90.00
_cell_angle_gamma 120.00
_symmetry_space_group_name_H-M 'R -3 m'
_symmetry_Int_Tables_number 166
_symmetry_space_group_name_Hall '-R 3 2"'
loop_
_atom_site_label
_atom_site_fract_x
_atom_site_fract_y
_atom_site_fract_z
Ho1 0.0000 0.0000 0.0000
H1 0.0315 0.5157 0.9177
Ru1 0.0000 0.0000 0.5000
```

---

An optimized crystal structure of Ho4ZnBi, computed with PBE.

Results
**ΔE to the lowest computed polymorph**: 0 meV per atom
**Energy relative to the elements**: -0.3487 eV per atom

```
data_Ho4ZnBi
_cell_length_a 13.9182
_cell_length_b 13.9182
_cell_length_c 13.9182
_cell_angle_alpha 90.00
_cell_angle_beta 90.00
_cell_angle_gamma 90.00
_symmetry_space_group_name_H-M 'F -4 3 m'
_symmetry_Int_Tables_number 216
_symmetry_space_group_name_Hall 'F -4 2 3'
loop_
_atom_site_label
_atom_site_fract_x
_atom_site_fract_y
_atom_site_fract_z
Ho1 0.0000 0.0000 0.1844
Ho2 0.0599 0.2500 0.7500
Ho3 0.1335 0.1335 0.3665
Zn1 0.1533 0.1533 0.1533
Bi1 0.0953 0.0953 0.5953
```

---

An optimized crystal structure of Sr2FeW, computed with PBE.

Results
**ΔE to the lowest computed polymorph**: 871 meV per atom
**Energy relative to the elements**: 1.3753 eV per atom

```
data_Sr2FeW
_cell_length_a 3.2047
_cell_length_b 3.2047
_cell_length_c 31.7979
_cell_angle_alpha 90.00
_cell_angle_beta 90.00
_cell_angle_gamma 120.00
_symmetry_space_group_name_H-M 'R -3 m'
_symmetry_Int_Tables_number 166
_symmetry_space_group_name_Hall '-R 3 2"'
loop_
_atom_site_label
_atom_site_fract_x
_atom_site_fract_y
_atom_site_fract_z
Sr1 0.0000 0.0000 0.2480
Fe1 0.0000 0.0000 0.5000
W1 0.0000 0.0000 0.0000
```

---

An optimized crystal structure of Ca3Si, computed with PBE.

Results
**ΔE to the lowest computed polymorph**: 108 meV per atom
**Raw formation energy**: -0.181 eV per atom

```
data_Ca3Si
_cell_length_a 3.5390
_cell_length_b 5.0811
_cell_length_c 14.7493
_cell_angle_alpha 90.00
_cell_angle_beta 90.00
_cell_angle_gamma 90.00
_symmetry_space_group_name_H-M 'I m m m'
_symmetry_Int_Tables_number 71
_symmetry_space_group_name_Hall '-I 2 2'
loop_
_atom_site_label
_atom_site_fract_x
_atom_site_fract_y
_atom_site_fract_z
Ca1 0.0000 0.0000 0.0000
Ca2 0.0000 0.5000 0.1679
Si1 0.0000 0.0000 0.5000
```

---

An optimized crystal structure of AsAu3O, computed with PBE.

Results
**ΔE to the lowest computed polymorph**: 0 meV per atom
**Raw formation energy**: 0.551 eV per atom

```
data_AsAu3O
_cell_length_a 4.5065
_cell_length_b 4.5065
_cell_length_c 4.5065
_cell_angle_alpha 90.00
_cell_angle_beta 90.00
_cell_angle_gamma 90.00
_symmetry_space_group_name_H-M 'P m -3 m'
_symmetry_Int_Tables_number 221
_symmetry_space_group_name_Hall '-P 4 2 3'
loop_
_atom_site_label
_atom_site_fract_x
_atom_site_fract_y
_atom_site_fract_z
As1 0.0000 0.0000 0.0000
Au1 0.0000 0.5000 0.5000
O1 0.5000 0.5000 0.5000
```

---

An optimized crystal structure of Tb3Sm6Er2, computed with PBE.

Results
**ΔE to the lowest computed polymorph**: 0 meV per atom
**Energy relative to the elements**: 0.0148 eV per atom

```
data_Tb3Sm6Er2
_cell_length_a 3.5876
_cell_length_b 3.5876
_cell_length_c 96.3589
_cell_angle_alpha 90.00
_cell_angle_beta 90.00
_cell_angle_gamma 120.00
_symmetry_space_group_name_H-M 'R -3 m'
_symmetry_Int_Tables_number 166
_symmetry_space_group_name_Hall '-R 3 2"'
loop_
_atom_site_label
_atom_site_fract_x
_atom_site_fract_y
_atom_site_fract_z
Tb1 0.0000 0.0000 0.0000
Tb2 0.0000 0.0000 0.2726
Sm1 0.0000 0.0000 0.0912
Sm2 0.0000 0.0000 0.1822
Sm3 0.0000 0.0000 0.3637
Er1 0.0000 0.0000 0.4545
```

---

An optimized crystal structure of OsWCl2, computed with PBE.

Results
**ΔE to the lowest computed polymorph**: 1733 meV per atom
**Raw formation energy**: 1.611 eV per atom

```
data_OsWCl2
_cell_length_a 3.9319
_cell_length_b 3.9319
_cell_length_c 4.1685
_cell_angle_alpha 90.00
_cell_angle_beta 90.00
_cell_angle_gamma 90.00
_symmetry_space_group_name_H-M 'P 4/m m m'
_symmetry_Int_Tables_number 123
_symmetry_space_group_name_Hall '-P 4 2'
loop_
_atom_site_label
_atom_site_fract_x
_atom_site_fract_y
_atom_site_fract_z
Os1 0.0000 0.0000 0.0000
W1 0.5000 0.5000 0.0000
Cl1 0.0000 0.5000 0.5000
```

---

An optimized crystal structure of ZrCuSi, computed with PBE.

Results
**Raw formation energy**: -0.246 eV per atom

```
data_ZrCuSi
_cell_length_a 4.0364
_cell_length_b 4.5904
_cell_length_c 10.3439
_cell_angle_alpha 90.00
_cell_angle_beta 90.00
_cell_angle_gamma 90.00
_symmetry_space_group_name_H-M 'F m m 2'
_symmetry_Int_Tables_number 42
_symmetry_space_group_name_Hall 'F 2 -2'
loop_
_atom_site_label
_atom_site_fract_x
_atom_site_fract_y
_atom_site_fract_z
Zr1 0.0000 0.0000 0.0000
Cu1 0.0000 0.0000 0.3064
Si1 0.0000 0.0000 0.6846
```

---

An optimized crystal structure of POs5, computed with PBE.

Results
**ΔE to the lowest computed polymorph**: 145 meV per atom
**Energy relative to the elements**: 0.3581 eV per atom

```
data_POs5
_cell_length_a 4.7371
_cell_length_b 4.7371
_cell_length_c 4.3567
_cell_angle_alpha 90.00
_cell_angle_beta 90.00
_cell_angle_gamma 120.00
_symmetry_space_group_name_H-M 'P -6 2 m'
_symmetry_Int_Tables_number 189
_symmetry_space_group_name_Hall 'P -6 -2'
loop_
_atom_site_label
_atom_site_fract_x
_atom_site_fract_y
_atom_site_fract_z
P1 0.0000 0.0000 0.0000
Os1 0.0000 0.6641 0.5000
Os2 0.3333 0.6667 0.0000
```

---

What did we get for E? Answer: -7.0253; -5.5385; -3.7920; -1.4105; -3.5011; -5.2095; -4.0007; -2.5352; -5.1983; -2.3049; -4.4135; -4.2597; -4.8195; -3.0375; -3.3369; -4.6517; -5.3581; -6.2687; -9.9016 eV per atom, in the order shown.
What did we get for magnetization? Answer: 0.00; 0.00; 0.00; 0.00; 0.00; 0.00; 0.13; 0.00; 0.59; 0.00; 0.77; 0.00; 2.22; 0.00; 0.00; 0.00; 0.00; 0.00; 0.00 μB per formula unit, in the order shown.